1.
Below is an optimized crystal structure of RbY2TiGa, with properties calculated at the GGA-PBE level.

Values from the calculation:
As for the space group: P4/mmm, No. 123. For the energy relative to the elements, the calculation gives 0.494 eV per atom.

a b c (Å): 5.710 5.184 5.710
angles (deg): 90.00 90.00 90.00
Fractional positions:
Y (0.000, 0.000, 0.500)
Y (0.500, 0.000, 0.000)
Ga (0.000, 0.000, 0.000)
Rb (0.500, 0.500, 0.500)
Ti (0.000, 0.500, 0.000)

2.
Below is an optimized crystal structure of RbTlGa, with properties calculated at the GGA-PBE level.

Values from the calculation:
As for the space group: Cm, No. 8. Its polymorph energy (0 for the lowest one) is 0.026 eV/atom. For the energy relative to the elements, the calculation gives -0.053 eV per atom.

a b c (Å): 4.822 6.959 7.264
angles (deg): 91.07 70.62 69.73
Fractional positions:
Rb (0.279, 0.956, 0.486)
Rb (0.721, 0.367, 0.190)
Ga (0.424, 0.370, 0.782)
Ga (0.132, 0.735, 0.001)
Tl (0.909, 0.545, 0.636)
Tl (0.558, 0.966, 0.919)

- What is the energy relative to the elements in the first record?
  0.494 eV per atom

- Among the records above, which one has the highest energy relative to the elements?
  RbY2TiGa